A plane-wave DFT calculation with PBE was carried out for a relaxed structure of Sr5Ga2Sb6.

a b c (Å): 12.840 14.721 4.617
angles (deg): 90.00 90.00 90.00
Fractional coordinates of all 26 atoms:
Sr 0.000 0.000 0.000
Sr 0.091 0.250 0.000
Sr 0.171 0.519 0.000
Sr 0.329 0.019 0.000
Sr 0.409 0.750 0.000
Sr 0.500 0.500 0.000
Sr 0.591 0.250 0.000
Sr 0.671 0.981 0.000
Sr 0.829 0.481 0.000
Sr 0.909 0.750 0.000
Ga 0.175 0.710 0.500
Ga 0.325 0.210 0.500
Ga 0.675 0.790 0.500
Ga 0.825 0.290 0.500
Sb 0.014 0.403 0.500
Sb 0.157 0.095 0.500
Sb 0.162 0.816 0.000
Sb 0.338 0.316 0.000
Sb 0.343 0.595 0.500
Sb 0.486 0.903 0.500
Sb 0.514 0.097 0.500
Sb 0.657 0.405 0.500
Sb 0.662 0.684 0.000
Sb 0.838 0.184 0.000
Sb 0.843 0.905 0.500
Sb 0.986 0.597 0.500

Summary:
**Symmetry**: Pbam (55)
**Formation energy (no corrections)**: -794 meV per atom
**Electronic total energy**: -3.81 eV per atom

=====

A plane-wave DFT calculation with PBE was carried out for a relaxed structure of Cd2TcBr.

a b c (Å): 3.220 3.260 8.432
angles (deg): 90.00 90.00 90.00
Fractional coordinates of all 4 atoms:
Cd 0.000 0.000 0.214
Cd 0.000 0.000 0.786
Tc 0.500 0.500 0.000
Br 0.000 0.500 0.500

Summary:
**Symmetry**: Pmmm (47)
**Polymorph energy (0 for the lowest one)**: 55 meV/atom
**Formation energy (no corrections)**: 298 meV per atom
**Electronic total energy**: -3.17 eV per atom

=====

A plane-wave DFT calculation with PBE was carried out for a relaxed structure of K4BaAg.

a b c (Å): 7.954 7.954 7.954
angles (deg): 60.00 60.00 60.00
Fractional coordinates of all 6 atoms:
K 0.124 0.124 0.124
K 0.124 0.124 0.628
K 0.124 0.628 0.124
K 0.628 0.124 0.124
Ba 0.500 0.500 0.500
Ag 0.750 0.750 0.750

Summary:
**Symmetry**: F-43m (216)
**ΔH_f (0 K)**: 0.2975 eV per atom
**Electronic total energy**: -1.23 eV per atom

=====

A plane-wave DFT calculation with PBE was carried out for a relaxed structure of TcSbIO2.

a b c (Å): 4.028 4.028 6.853
angles (deg): 90.00 90.00 90.00
Fractional coordinates of all 5 atoms:
Tc 0.000 0.000 0.000
Sb 0.500 0.500 0.500
I 0.500 0.500 0.000
O 0.000 0.500 0.500
O 0.500 0.000 0.500

Summary:
**Symmetry**: P4/mmm (123)
**Polymorph energy (0 for the lowest one)**: 297 meV/atom
**Formation energy (no corrections)**: 218 meV per atom
**Electronic total energy**: -4.97 eV per atom